Material: PmPrSc
Method: DFT, PBE-GGA
State: optimized geometry

Unit cell a=3.583 b=3.583 c=7.810 alpha=103.26 beta=103.26 gamma=90.00
Element x y z (fractional)
Pm 0.326 0.326 0.652
Sc 0.668 0.668 0.335
Pr 0.006 0.006 0.013

Summary:
Its relative energy among the computed polymorphs is 0 meV per atom. The value obtained for the energy is -15.68 eV for the cell shown.

Material: Pm5Pr3Sc
Method: DFT, PBE-GGA
State: optimized geometry

Unit cell a=9.614 b=9.614 c=9.372 alpha=75.96 beta=75.96 gamma=51.44
Each line ends with the local moment (μB).
Element x y z (fractional)
Pr 0.699 0.699 0.710  0.00
Pr 0.000 0.000 0.000  0.13
Pm 0.501 0.501 0.674  0.00
Pm 0.310 0.310 0.935  0.01
Pm 0.690 0.690 0.065  0.01
Pm 0.448 0.863 0.410  0.00
Pm 0.323 0.677 0.000  -0.01
Pr 0.157 0.157 0.718  0.01
Sc 0.129 0.129 0.157  0.15
Pm 0.677 0.323 0.000  -0.01
Pm 0.863 0.448 0.410  0.00
Pm 0.552 0.137 0.590  0.00
Pm 0.137 0.552 0.590  0.00
Pr 0.000 0.000 0.500  0.07
Pm 0.499 0.499 0.326  0.00
Sc 0.871 0.871 0.843  0.15
Pr 0.301 0.301 0.290  0.00
Pr 0.843 0.843 0.282  0.01

Summary:
The value obtained for the energy is -81.76 eV for the cell shown.

Among the records above, which one has the highest energy? PmPrSc

Look up the energy of the first one. -15.68 eV for the cell shown